[1]
{"formula": "ReSbO2", "functional": "GGA-PBE", "state": "optimized geometry", "raw_formation_energy_ev_per_atom": -0.557, "spacegroup": "No. 166", "e_tot_ev_per_atom": -7.18, "lattice_angstrom": [[1.460, 0.843, 7.625], [-1.460, 0.843, 7.625], [0.000, -1.686, 7.625]], "species": ["Re", "Sb", "O", "O"], "fractional_positions": [[0.000, 0.000, 0.000], [0.500, 0.500, 0.500], [0.390, 0.390, 0.390], [0.610, 0.610, 0.610]]}


[2]
{"formula": "ZrHPt", "functional": "GGA-PBE", "state": "optimized geometry", "spacegroup": "No. 12", "e_tot_ev_per_atom": -6.67, "relative_energy_kj_per_mol_atoms": 12.7, "lattice_angstrom": [[4.844, -1.701, 0.000], [4.844, 1.701, 0.000], [-1.150, 0.000, 4.995]], "species": ["Zr", "Zr", "H", "H", "Pt", "Pt"], "fractional_positions": [[0.111, 0.111, 0.311], [0.889, 0.889, 0.689], [0.319, 0.319, 0.475], [0.681, 0.681, 0.525], [0.373, 0.373, 0.119], [0.627, 0.627, 0.881]]}


[3]
{"formula": "InPd3F", "functional": "GGA-PBE", "state": "optimized geometry", "raw_formation_energy_ev_per_atom": -0.038, "spacegroup": "No. 221", "e_tot_ev_per_atom": -4.08, "relative_energy_kj_per_mol_atoms": 0.0, "lattice_angstrom": [[4.420, 0.000, 0.000], [0.000, 4.420, 0.000], [0.000, 0.000, 4.420]], "species": ["In", "Pd", "Pd", "Pd", "F"], "fractional_positions": [[0.000, 0.000, 0.000], [0.000, 0.500, 0.500], [0.500, 0.000, 0.500], [0.500, 0.500, 0.000], [0.500, 0.500, 0.500]]}


[4]
{"formula": "Ac8CePr5", "functional": "GGA-PBE", "state": "optimized geometry", "e_form_kj_per_mol_atoms": 13.44, "spacegroup": "No. 1", "e_tot_ev_per_atom": -4.34, "lattice_angstrom": [[9.037, 0.000, 0.000], [0.445, 9.088, 0.000], [4.367, 4.021, 7.163]], "species": ["Ac", "Ac", "Ac", "Ac", "Ac", "Ac", "Ac", "Ac", "Ce", "Pr", "Pr", "Pr", "Pr", "Pr"], "fractional_positions": [[0.000, 0.000, 0.000], [0.065, 0.693, 0.387], [0.182, 0.182, 0.235], [0.319, 0.690, 0.933], [0.385, 0.345, 0.441], [0.488, 0.831, 0.329], [0.598, 0.510, 0.655], [0.804, 0.767, 0.837], [0.898, 0.243, 0.633], [0.122, 0.466, 0.798], [0.474, 0.059, 0.896], [0.686, 0.286, 0.034], [0.707, 0.033, 0.465], [0.867, 0.474, 0.234]]}


[5]
{"formula": "RbRhSe2", "functional": "GGA-PBE", "state": "optimized geometry", "raw_formation_energy_ev_per_atom": -0.619, "spacegroup": "No. 36", "e_tot_ev_per_atom": -4.44, "lattice_angstrom": [[1.900, -8.449, 0.000], [1.900, 8.449, 0.000], [0.000, 0.000, 6.684]], "species": ["Rb", "Rb", "Rh", "Rh", "Se", "Se", "Se", "Se"], "fractional_positions": [[0.081, 0.919, 0.500], [0.919, 0.081, 0.000], [0.186, 0.814, 0.969], [0.814, 0.186, 0.469], [0.272, 0.728, 0.260], [0.405, 0.595, 0.569], [0.595, 0.405, 0.069], [0.728, 0.272, 0.760]]}


[6]
{"formula": "YAlNi", "functional": "GGA-PBE", "state": "optimized geometry", "e_form_kj_per_mol_atoms": -37.78, "spacegroup": "No. 107", "e_tot_ev_per_atom": -5.72, "lattice_angstrom": [[-1.586, 1.586, 5.402], [1.586, -1.586, 5.402], [1.586, 1.586, -5.402]], "species": ["Y", "Al", "Ni"], "fractional_positions": [[0.000, 0.000, 0.000], [0.287, 0.287, 0.000], [0.680, 0.680, 0.000]]}


[7]
{"formula": "Li2MnCl", "functional": "GGA-PBE", "state": "optimized geometry", "raw_formation_energy_ev_per_atom": -0.220, "spacegroup": "No. 35", "e_tot_ev_per_atom": -3.93, "relative_energy_kj_per_mol_atoms": 21.6, "lattice_angstrom": [[1.753, -2.632, 0.000], [1.753, 2.632, 0.000], [0.000, 0.000, 8.408]], "species": ["Li", "Li", "Mn", "Cl"], "fractional_positions": [[0.000, 0.000, 0.000], [0.500, 0.500, 0.316], [0.500, 0.500, 0.750], [0.000, 0.000, 0.493]]}


[8]
{"formula": "Sm4CoPt", "functional": "GGA-PBE", "state": "optimized geometry", "e_form_kj_per_mol_atoms": -36.04, "spacegroup": "No. 109", "e_tot_ev_per_atom": -5.71, "relative_energy_kj_per_mol_atoms": 5.9, "lattice_angstrom": [[-4.682, 4.682, 4.177], [4.682, -4.682, 4.177], [4.682, 4.682, -4.177]], "species": ["Sm", "Sm", "Sm", "Sm", "Sm", "Sm", "Sm", "Sm", "Co", "Co", "Pt", "Pt"], "fractional_positions": [[0.195, 0.000, 0.195], [0.222, 0.522, 0.300], [0.222, 0.922, 0.700], [0.272, 0.472, 0.800], [0.672, 0.472, 0.200], [0.750, 0.055, 0.305], [0.750, 0.445, 0.695], [0.805, 0.000, 0.805], [0.236, 0.236, 0.000], [0.986, 0.486, 0.500], [0.485, 0.985, 0.500], [0.735, 0.735, 0.000]]}